Material: Mg8Ru
Method: DFT, PBE
State: relaxed Values from VASP.

Summary:
ΔE to the lowest computed polymorph, meV per atom: 0.0
Final energy, eV for the cell shown: -22.1
N(E_F), states/eV per cell: 2.6
ΔE_f, eV per atom: -0.003
Total magnetic moment, μB per atom: 0.000

The structure in Quantum ESPRESSO input format:
```
&SYSTEM
  ibrav = 0, nat = 9, ntyp = 2
/
ATOMIC_SPECIES
Mg 24.30 Mg.upf
Ru 101.07 Ru.upf
CELL_PARAMETERS angstrom
-5.090 5.090 1.776
5.090 -5.090 1.776
5.090 5.090 -1.776
ATOMIC_POSITIONS crystal
Mg 0.351 0.351 0.703
Mg 0.000 0.329 0.329
Mg 0.351 0.649 0.000
Mg 0.329 0.000 0.329
Mg 0.671 0.000 0.671
Mg 0.649 0.351 0.000
Mg 0.000 0.671 0.671
Mg 0.649 0.649 0.297
Ru 0.000 0.000 0.000
```

***

Material: Mg3Ru
Method: DFT, PBE
State: relaxed Values from VASP.

Summary:
Final energy, eV for the cell shown: -13.7
N(E_F), states/eV per cell: 1.8
ΔE_f, eV per atom: 0.102
Total magnetic moment, μB per atom: 0.236

The structure in Quantum ESPRESSO input format:
```
&SYSTEM
  ibrav = 0, nat = 4, ntyp = 2
/
ATOMIC_SPECIES
Mg 24.30 Mg.upf
Ru 101.07 Ru.upf
CELL_PARAMETERS angstrom
5.016 0.030 0.000
-1.655 4.735 0.000
0.000 0.000 3.011
ATOMIC_POSITIONS crystal
Mg 0.000 0.500 0.500
Mg 0.500 0.500 0.000
Mg 0.500 0.000 0.500
Ru 0.000 0.000 0.000
```

***

Material: Mg7Ru6
Method: DFT, PBE
State: relaxed Values from VASP.

Summary:
Final energy, eV for the cell shown: -60.9
N(E_F), states/eV per cell: 12.0
ΔE_f, eV per atom: 0.459
Total magnetic moment, μB per atom: 0.038

The structure in Quantum ESPRESSO input format:
```
&SYSTEM
  ibrav = 0, nat = 13, ntyp = 2
/
ATOMIC_SPECIES
Ru 101.07 Ru.upf
Mg 24.30 Mg.upf
CELL_PARAMETERS angstrom
9.364 -0.003 -0.002
7.905 5.020 -0.002
7.905 2.296 4.464
ATOMIC_POSITIONS crystal
Ru 0.667 0.667 0.667
Ru 0.859 0.859 0.859
Ru 0.141 0.141 0.141
Ru 0.044 0.044 0.044
Ru 0.956 0.956 0.956
Ru 0.333 0.333 0.333
Mg 0.078 0.587 0.587
Mg 0.413 0.922 0.413
Mg 0.922 0.413 0.413
Mg 0.500 0.500 0.500
Mg 0.587 0.078 0.587
Mg 0.413 0.413 0.922
Mg 0.587 0.587 0.078
```

***

Material: MgRu
Method: DFT, PBE
State: relaxed Values from VASP.

Summary:
Final energy, eV for the cell shown: -19.9
N(E_F), states/eV per cell: 3.5
ΔE_f, eV per atom: 0.458
Total magnetic moment, μB per atom: 0.000

The structure in Quantum ESPRESSO input format:
```
&SYSTEM
  ibrav = 0, nat = 4, ntyp = 2
/
ATOMIC_SPECIES
Mg 24.30 Mg.upf
Ru 101.07 Ru.upf
CELL_PARAMETERS angstrom
-0.922 3.208 0.988
-1.873 0.358 -2.911
-5.397 -2.525 3.163
ATOMIC_POSITIONS crystal
Mg 0.250 0.250 0.334
Mg 0.750 0.750 0.666
Ru 0.750 0.250 0.000
Ru 0.250 0.750 0.000
```